Density functional theory data (PBE) for TiTlBr2Cl after structural relaxation.

Cell and atoms, written as POSCAR:
```
TiTlBr2Cl
1.0
5.414 0.000 0.000
0.000 5.414 0.000
0.000 0.000 4.878
Tl Cl Br Ti
1 1 2 1
Cartesian
2.707 2.707 2.439
0.000 0.000 2.439
0.000 2.707 0.000
2.707 0.000 0.000
0.000 0.000 0.000
```

Values from the calculation:
The size of the total moment comes out at 2.00 Bohr magnetons per cell. The electronic total energy is -4.076 eV/atom. The formation energy without anion corrections is -0.986 eV per atom. Its symmetry is P4/mmm. The mass density comes out at 5.2 Mg/m³.



Density functional theory data (PBE) for Sc3GaS2 after structural relaxation.

Cell and atoms, written as POSCAR:
```
Sc3GaS2
1.0
3.516 -0.105 -0.906
-0.430 4.842 -2.234
-0.160 0.099 6.651
Sc Ga S
3 1 2
Cartesian
1.543 2.368 -1.570
0.486 0.867 1.785
2.439 3.969 1.726
1.758 -0.053 -0.453
0.243 3.238 0.565
2.682 1.598 2.946
```

Values from the calculation:
The size of the total moment comes out at 0.00 Bohr magnetons per cell. The electronic total energy is -6.476 eV/atom. The formation energy without anion corrections is -1.430 eV per atom. Its symmetry is Immm. The mass density comes out at 3.9 Mg/m³.



Density functional theory data (PBE) for Al2TeRu2 after structural relaxation.

Cell and atoms, written as POSCAR:
```
Al2TeRu2
1.0
-5.374 -4.882 -0.035
1.652 -1.770 -6.845
1.945 -2.149 1.025
Ru Te Al
4 2 4
Cartesian
-0.445 -3.157 -5.772
-3.434 -5.274 -4.537
-3.277 -3.495 -1.108
-0.288 -1.378 -2.343
0.000 0.000 0.000
-1.861 -3.326 -3.440
1.300 -2.851 -3.832
-1.004 -5.702 -5.437
-3.077 -5.950 -2.023
-0.773 -3.098 -0.418
```

Values from the calculation:
The size of the total moment comes out at 0.00 Bohr magnetons per cell. The electronic total energy is -6.045 eV/atom. The formation energy without anion corrections is -0.209 eV per atom. Its symmetry is P4/mbm. The mass density comes out at 7.9 Mg/m³.